(1)
A relaxed structure of Na2PuCdS4. Source: Alexandria via LeMat-Bulk, functional GGA-PBE.

Its electronic total energy is -5.441 eV per atom. The value obtained for the uncorrected formation energy is -1.14 eV/atom. The value obtained for the total magnetization is 4.0 μB per formula unit. For the mass density, the calculation gives 4.90 g cm⁻³.

a b c (Å): 6.7686 3.9850 7.0866
angles (deg): 90.00 109.78 90.00
Space group P2/m (No. 10)
Inequivalent atoms, fractional coordinates:
Na 0.0000 0.0000 0.0000 [1 per cell]
Na 0.5000 0.5000 0.0000 [1 per cell]
Pu 0.0000 0.5000 0.5000 [1 per cell]
Cd 0.5000 0.0000 0.5000 [1 per cell]
S 0.2295 0.0000 0.7307 [2 per cell]
S 0.2544 0.5000 0.2793 [2 per cell]

***

(2)
A relaxed structure of Y2Tm7. Source: Alexandria via LeMat-Bulk, functional GGA-PBE.

For the energy above the most stable polymorph in this dataset, the calculation gives 9 meV/atom. Its electronic total energy is -4.873 eV per atom. The value obtained for the total magnetization is 2.2 μB per formula unit. For the mass density, the calculation gives 8.13 g cm⁻³. The calculation puts the energy of formation at 0.04 eV/atom.

a b c (Å): 9.5416 9.5416 3.5220
angles (deg): 90.00 90.00 120.00
Space group P-62m (No. 189)
Inequivalent atoms, fractional coordinates:
Y 0.3333 0.6667 0.0000 [2 per cell]
Tm 0.0000 0.0000 0.5000 [1 per cell]
Tm 0.0000 0.3040 0.0000 [3 per cell]
Tm 0.0000 0.6403 0.5000 [3 per cell]

***

(3)
A relaxed structure of NaZn4Cu. Source: Alexandria via LeMat-Bulk, functional GGA-PBE.

For the energy above the most stable polymorph in this dataset, the calculation gives 20 meV/atom. Its electronic total energy is -1.713 eV per atom. The value obtained for the total magnetization is 0.0 μB per formula unit. For the mass density, the calculation gives 6.01 g cm⁻³. The calculation puts the energy of formation at 0.04 eV/atom.

a b c (Å): 7.2734 7.2734 7.2734
angles (deg): 90.00 90.00 90.00
Space group F-43m (No. 216)
Inequivalent atoms, fractional coordinates:
Na 0.0000 0.0000 0.0000 [4 per cell]
Zn 0.1240 0.1240 0.6240 [16 per cell]
Cu 0.2500 0.2500 0.2500 [4 per cell]

***

(4)
A relaxed structure of KSn2Rh. Source: Alexandria via LeMat-Bulk, functional GGA-PBE.

Its electronic total energy is -4.382 eV per atom. The value obtained for the total magnetization is 0.3 μB per formula unit. For the mass density, the calculation gives 5.45 g cm⁻³. The calculation puts the energy of formation at -0.27 eV/atom.

a b c (Å): 4.4648 4.4648 20.0991
angles (deg): 90.00 90.00 120.00
Space group R-3m (No. 166, hexagonal axes)
Inequivalent atoms, fractional coordinates:
K 0.0000 0.0000 0.0000 [3 per cell]
Sn 0.0000 0.0000 0.2105 [6 per cell]
Rh 0.0000 0.0000 0.5000 [3 per cell]